No. 1
Below is a geometry-optimized Li2FeAs structure, with properties calculated at the PBE level.

Output
- formation energy from the elements (eV per atom) = 0.024
- crystal system = tetragonal
- M_tot (μB per cell) = 5.246

Lattice parameters (Å, degrees): 9.551 9.551 9.551 158.15 158.15 31.09
Fractional positions:
1 Li 0.116 0.625 0.991
2 Li 0.375 0.366 0.491
3 Li 0.634 0.125 0.009
4 Li 0.875 0.884 0.509
5 Fe 0.250 0.750 0.500
6 Fe 0.500 0.500 0.000
7 As 0.000 0.000 0.000
8 As 0.750 0.250 0.500

=====

No. 2
Below is a geometry-optimized TmCd11Hg structure, with properties calculated at the PBE level.

Output
- formation energy from the elements (eV per atom) = -0.032
- crystal system = monoclinic
- M_tot (μB per cell) = 0.000

Lattice parameters (Å, degrees): 7.627 7.627 7.623 98.84 98.84 133.34
Fractional positions:
1 Tm 0.000 0.000 0.000
2 Cd 0.000 0.000 0.500
3 Cd 0.000 0.500 0.000
4 Cd 0.003 0.652 0.651
5 Cd 0.284 0.496 0.788
6 Cd 0.348 0.997 0.349
7 Cd 0.496 0.284 0.788
8 Cd 0.500 0.000 0.000
9 Cd 0.504 0.716 0.212
10 Cd 0.652 0.003 0.651
11 Cd 0.716 0.504 0.212
12 Cd 0.997 0.348 0.349
13 Hg 0.500 0.500 0.500

=====

No. 3
Below is a geometry-optimized CaMn2Cu structure, with properties calculated at the PBE level.

Output
- formation energy from the elements (eV per atom) = 0.522
- crystal system = tetragonal
- M_tot (μB per cell) = 7.365

Lattice parameters (Å, degrees): 5.195 5.195 5.195 134.21 134.21 66.76
Fractional positions:
1 Ca 0.000 0.000 0.000
2 Mn 0.250 0.750 0.500
3 Mn 0.750 0.250 0.500
4 Cu 0.500 0.500 0.000

=====

No. 4
Below is a geometry-optimized MnCu23Pd6 structure, with properties calculated at the PBE level.

Output
- formation energy from the elements (eV per atom) = 0.004
- crystal system = cubic
- M_tot (μB per cell) = 4.716

Lattice parameters (Å, degrees): 8.209 8.209 8.209 60.00 60.00 60.00
Fractional positions:
1 Mn 0.000 0.000 0.000
2 Cu 0.000 0.000 0.500
3 Cu 0.000 0.500 0.000
4 Cu 0.000 0.500 0.500
5 Cu 0.133 0.622 0.622
6 Cu 0.163 0.163 0.163
7 Cu 0.163 0.163 0.511
8 Cu 0.163 0.511 0.163
9 Cu 0.378 0.378 0.378
10 Cu 0.378 0.378 0.867
11 Cu 0.378 0.867 0.378
12 Cu 0.489 0.837 0.837
13 Cu 0.500 0.000 0.000
14 Cu 0.500 0.000 0.500
15 Cu 0.500 0.500 0.000
16 Cu 0.500 0.500 0.500
17 Cu 0.511 0.163 0.163
18 Cu 0.622 0.133 0.622
19 Cu 0.622 0.622 0.133
20 Cu 0.622 0.622 0.622
21 Cu 0.837 0.489 0.837
22 Cu 0.837 0.837 0.489
23 Cu 0.837 0.837 0.837
24 Cu 0.867 0.378 0.378
25 Pd 0.226 0.226 0.774
26 Pd 0.226 0.774 0.226
27 Pd 0.226 0.774 0.774
28 Pd 0.774 0.226 0.226
29 Pd 0.774 0.226 0.774
30 Pd 0.774 0.774 0.226

=====

No. 5
Below is a geometry-optimized MgCr2Pb structure, with properties calculated at the PBE level.

Output
- formation energy from the elements (eV per atom) = 0.488
- crystal system = tetragonal
- M_tot (μB per cell) = 7.475

Lattice parameters (Å, degrees): 4.348 4.348 4.089 90.00 90.00 90.00
Fractional positions:
1 Mg 0.000 0.000 0.000
2 Cr 0.000 0.500 0.500
3 Cr 0.500 0.000 0.500
4 Pb 0.500 0.500 0.000

=====

No. 6
Below is a geometry-optimized NdNbTe3 structure, with properties calculated at the PBE level.

Output
- raw formation energy (eV/atom) = -0.94
- crystal system = monoclinic
- M_tot (μB per cell) = 0.000

Lattice parameters (Å, degrees): 8.210 8.210 9.026 91.79 91.79 28.14
Fractional positions:
1 Nd 0.102 0.102 0.396
2 Nd 0.898 0.898 0.604
3 Nb 0.290 0.290 0.114
4 Nb 0.710 0.710 0.886
5 Te 0.119 0.119 0.034
6 Te 0.246 0.246 0.665
7 Te 0.443 0.443 0.326
8 Te 0.557 0.557 0.674
9 Te 0.754 0.754 0.335
10 Te 0.881 0.881 0.966